(1)
The following is a PBE calculation of a relaxed MgGeAs2 crystal, from Alexandria via LeMat-Bulk.

Unit cell a=3.7377 b=3.7377 c=7.1131 alpha=74.77 beta=74.77 gamma=60.00
With the nearest neighbours (Å) after each atom.
Fractional coordinates of all 4 atoms:
As (0.7436, 0.7436, 0.7693)  3 Ge 2.66, 3 Mg 2.83
Mg (0.5000, 0.5000, 0.5000)  6 As 2.83
Ge (0.0000, 0.0000, 0.0000)  6 As 2.66
As (0.2564, 0.2564, 0.2307)  3 Ge 2.66, 3 Mg 2.83

Calculated values
- Crystal system: trigonal
- Formation energy: -102 meV/atom
- Final energy: -3.98 eV/atom
- Fermi-level density of states: 1.9 states/eV/f.u.
- E above lowest polymorph: 0.173 eV per atom

(2)
The following is a PBE calculation of a relaxed CaY4Tm crystal, from Alexandria via LeMat-Bulk.

Unit cell a=3.5558 b=7.1139 c=16.0589 alpha=90.00 beta=96.36 gamma=90.00
With the nearest neighbours (Å) after each atom.
Fractional coordinates of all 12 atoms:
Y (0.5800, 0.2500, 0.1599)  10 Y 3.49-3.58, 2 Tm 3.56
Y (0.0000, 0.5000, 0.0000)  8 Y 3.56-3.58, 4 Tm 3.57
Y (0.0000, 0.0000, 0.0000)  8 Y 3.56-3.58, 4 Tm 3.57
Y (0.4200, 0.7500, 0.8401)  10 Y 3.49-3.58, 2 Tm 3.56
Y (0.8441, 0.5000, 0.6882)  6 Y 3.49-3.56, 2 Tm 3.51, 3 Ca 3.65-3.78
Y (0.8441, 0.0000, 0.6882)  6 Y 3.49-3.56, 2 Tm 3.51, 3 Ca 3.65-3.78
Ca (0.7443, 0.2500, 0.4885)  2 Ca 3.56, 6 Y 3.65-3.78
Tm (0.4207, 0.2500, 0.8414)  10 Y 3.51-3.57, 2 Tm 3.56
Y (0.1559, 0.5000, 0.3118)  6 Y 3.49-3.56, 2 Tm 3.51, 3 Ca 3.65-3.78
Ca (0.2557, 0.7500, 0.5115)  2 Ca 3.56, 6 Y 3.65-3.78
Y (0.1559, 0.0000, 0.3118)  6 Y 3.49-3.56, 2 Tm 3.51, 3 Ca 3.65-3.78
Tm (0.5793, 0.7500, 0.1586)  10 Y 3.51-3.57, 2 Tm 3.56

Calculated values
- Crystal system: orthorhombic
- Formation energy: 78 meV/atom
- Final energy: -5.31 eV/atom
- Fermi-level density of states: 9.0 states/eV/f.u.

(3)
The following is a PBE calculation of a relaxed SmLuCu crystal, from Alexandria via LeMat-Bulk.

Unit cell a=3.9264 b=4.7252 c=4.7252 alpha=120.00 beta=90.00 gamma=90.00
With the nearest neighbours (Å) after each atom.
Fractional coordinates of all 3 atoms:
Lu (0.1907, 0.3333, 0.6667)  3 Cu 2.74
Sm (0.6869, 0.6667, 0.3333)  6 Cu 3.22-3.52, 6 Lu 3.35-3.37
Cu (0.1224, 0.0000, 0.0000)  3 Lu 2.74

Calculated values
- Crystal system: trigonal
- Formation energy: 43 meV/atom
- Final energy: -4.40 eV/atom
- Fermi-level density of states: 3.3 states/eV/f.u.
- E above lowest polymorph: 0.175 eV per atom

(4)
The following is a PBE calculation of a relaxed TaNbAuC crystal, from Alexandria via LeMat-Bulk.

Unit cell a=3.1594 b=3.1588 c=7.2421 alpha=90.01 beta=102.57 gamma=119.99
With the nearest neighbours (Å) after each atom.
Fractional coordinates of all 4 atoms:
C (0.3060, 0.5509, 0.8721)  3 Ta 2.17, 3 Nb 2.20
Au (0.9657, 0.3810, 0.3614)  3 Ta 2.90, 3 Nb 2.97, 6 Au 3.16
Nb (0.5222, 0.1590, 0.6963)  3 C 2.20
Ta (0.0840, 0.9400, 0.0398)  3 C 2.17

Calculated values
- Crystal system: trigonal
- Formation energy: -400 meV/atom
- Final energy: -9.01 eV/atom
- Fermi-level density of states: 3.0 states/eV/f.u.

(5)
The following is a PBE calculation of a relaxed CrHg7 crystal, from Alexandria via LeMat-Bulk.

Unit cell a=6.4562 b=6.4562 c=6.4562 alpha=60.00 beta=60.00 gamma=60.00
With the nearest neighbours (Å) after each atom.
Fractional coordinates of all 8 atoms:
Hg (0.5000, 0.5000, 0.5000)  12 Hg 3.23
Hg (0.5000, 0.5000, 0.0000)  10 Hg 3.23, 2 Cr 3.23
Hg (0.0000, 0.0000, 0.5000)  10 Hg 3.23, 2 Cr 3.23
Hg (0.5000, 0.0000, 0.0000)  10 Hg 3.23, 2 Cr 3.23
Hg (0.5000, 0.0000, 0.5000)  10 Hg 3.23, 2 Cr 3.23
Hg (0.0000, 0.5000, 0.5000)  10 Hg 3.23, 2 Cr 3.23
Hg (0.0000, 0.5000, 0.0000)  10 Hg 3.23, 2 Cr 3.23
Cr (0.0000, 0.0000, 0.0000)  12 Hg 3.23

Calculated values
- Crystal system: cubic
- Formation energy: 228 meV/atom
- Final energy: -1.24 eV/atom
- Fermi-level density of states: 3.1 states/eV/f.u.

(6)
The following is a PBE calculation of a relaxed YErTm5 crystal, from Alexandria via LeMat-Bulk.

Unit cell a=5.7212 b=7.8450 c=7.8450 alpha=65.79 beta=68.61 gamma=68.61
With the nearest neighbours (Å) after each atom.
Fractional coordinates of all 7 atoms:
Tm (0.7441, 0.2559, 0.2559)  1 Y 2.90, 1 Er 3.04
Y (0.5000, 0.5000, 0.5000)  6 Tm 2.75-2.90
Tm (0.2559, 0.7441, 0.7441)  1 Y 2.90, 1 Er 3.04
Er (0.0000, 0.0000, 0.0000)  6 Tm 3.04-3.23
Tm (0.5000, 0.1772, 0.8228)  1 Y 2.75, 1 Tm 3.02
Tm (0.5000, 0.8228, 0.1772)  1 Y 2.75, 1 Tm 3.02
Tm (0.0000, 0.5000, 0.5000)  2 Y 2.86

Calculated values
- Crystal system: orthorhombic
- Formation energy: 1168 meV/atom
- Final energy: -3.60 eV/atom
- Fermi-level density of states: 6.5 states/eV/f.u.
- E above lowest polymorph: 0.988 eV per atom

(7)
The following is a PBE calculation of a relaxed CeMgCuNi crystal, from Alexandria via LeMat-Bulk.

Unit cell a=4.6932 b=4.6932 c=4.6932 alpha=60.00 beta=60.00 gamma=60.00
With the nearest neighbours (Å) after each atom.
Fractional coordinates of all 4 atoms:
Ni (0.5000, 0.5000, 0.5000)  4 Mg 2.87, 4 Ce 2.87
Cu (0.0000, 0.0000, 0.0000)  4 Ce 2.87, 4 Mg 2.87
Ce (0.7500, 0.7500, 0.7500)  4 Ni 2.87, 4 Cu 2.87
Mg (0.2500, 0.2500, 0.2500)  4 Cu 2.87, 4 Ni 2.87

Calculated values
- Crystal system: cubic
- Formation energy: -164 meV/atom
- Final energy: -4.52 eV/atom
- Fermi-level density of states: 4.1 states/eV/f.u.

(8)
The following is a PBE calculation of a relaxed Sr2CrOs crystal, from Alexandria via LeMat-Bulk.

Unit cell a=5.1465 b=5.1465 c=5.1465 alpha=60.00 beta=60.00 gamma=60.00
With the nearest neighbours (Å) after each atom.
Fractional coordinates of all 4 atoms:
Cr (0.0000, 0.0000, 0.0000)  8 Sr 3.15
Sr (0.2500, 0.2500, 0.2500)  4 Cr 3.15, 4 Os 3.15
Sr (0.7500, 0.7500, 0.7500)  4 Cr 3.15, 4 Os 3.15
Os (0.5000, 0.5000, 0.5000)  8 Sr 3.15

Calculated values
- Crystal system: cubic
- Formation energy: 1532 meV/atom
- Final energy: -4.52 eV/atom
- Fermi-level density of states: 20.9 states/eV/f.u.
- E above lowest polymorph: 1.252 eV per atom

(9)
The following is a PBE calculation of a relaxed Sn2AsSe crystal, from Alexandria via LeMat-Bulk.

Unit cell a=7.3095 b=7.3095 c=6.8659 alpha=57.84 beta=57.84 gamma=90.00
With the nearest neighbours (Å) after each atom.
Fractional coordinates of all 8 atoms:
Sn (0.3750, 0.3860, 0.7500)  2 As 2.77, 2 Se 2.87
Se (0.7500, 0.2500, 0.5000)  4 Sn 2.87
Sn (0.6140, 0.1250, 0.2500)  2 As 2.77, 2 Se 2.87
Se (0.0000, 0.0000, 0.0000)  4 Sn 2.87
Sn (0.8750, 0.8640, 0.7500)  2 As 2.77, 2 Se 2.87
As (0.2500, 0.7500, 0.5000)  4 Sn 2.77
As (0.5000, 0.5000, 0.0000)  4 Sn 2.77
Sn (0.1360, 0.6250, 0.2500)  2 As 2.77, 2 Se 2.87

Calculated values
- Crystal system: tetragonal
- Uncorrected formation energy: -0.04 eV per atom
- Final energy: -4.07 eV/atom
- Fermi-level density of states: 2.0 states/eV/f.u.
- E above lowest polymorph: 0.185 eV per atom

(10)
The following is a PBE calculation of a relaxed ScCdPtO2 crystal, from Alexandria via LeMat-Bulk.

Unit cell a=4.1144 b=5.1284 c=4.1144 alpha=90.00 beta=90.00 gamma=90.00
With the nearest neighbours (Å) after each atom.
Fractional coordinates of all 5 atoms:
Sc (0.0000, 0.5000, 0.0000)  2 Pt 2.56
Cd (0.5000, 0.5000, 0.5000)  4 Sc 2.91
Pt (0.0000, 0.0000, 0.0000)  4 O 2.06
O (0.0000, 0.0000, 0.5000)  2 Pt 2.06
O (0.5000, 0.0000, 0.0000)  2 Pt 2.06

Calculated values
- Crystal system: tetragonal
- Uncorrected formation energy: -0.04 eV per atom
- Final energy: -4.68 eV/atom
- Fermi-level density of states: 5.9 states/eV/f.u.

(11)
The following is a PBE calculation of a relaxed NpURu crystal, from Alexandria via LeMat-Bulk.

Unit cell a=4.4336 b=4.4354 c=6.1517 alpha=90.00 beta=90.00 gamma=90.00
With the nearest neighbours (Å) after each atom.
Fractional coordinates of all 6 atoms:
Np (0.0000, 0.5000, 0.2510)  4 U 2.69-2.70, 4 Ru 2.70
Ru (0.5000, 0.5000, 0.0001)  4 Np 2.70
U (0.5000, 0.5000, 0.5002)  4 Np 2.69-2.70
Np (0.5000, 0.0000, 0.7490)  4 U 2.69-2.70, 4 Ru 2.70
U (0.0000, 0.0000, 0.4998)  4 Np 2.69-2.70
Ru (0.0000, 0.0000, 0.9999)  4 Np 2.70

Calculated values
- Crystal system: tetragonal
- Formation energy: 389 meV/atom
- Final energy: -10.78 eV/atom
- Fermi-level density of states: 6.3 states/eV/f.u.
- E above lowest polymorph: 0.500 eV per atom

(12)
The following is a PBE calculation of a relaxed AgBC2 crystal, from Alexandria via LeMat-Bulk.

Unit cell a=4.5552 b=4.5552 c=5.0527 alpha=63.21 beta=63.21 gamma=90.00
With the nearest neighbours (Å) after each atom.
Fractional coordinates of all 8 atoms:
C (0.2375, 0.6250, 0.2500)  2 B 1.62
B (0.5000, 0.5000, 0.0000)  4 C 1.62
Ag (0.0000, 0.0000, 0.0000)  4 C 2.23
B (0.2500, 0.7500, 0.5000)  4 C 1.62
C (0.8750, 0.7625, 0.7500)  2 B 1.62
C (0.5125, 0.1250, 0.2500)  2 B 1.62
C (0.3750, 0.4875, 0.7500)  2 B 1.62
Ag (0.7500, 0.2500, 0.5000)  4 C 2.23

Calculated values
- Crystal system: tetragonal
- Formation energy: 1259 meV/atom
- Final energy: -5.73 eV/atom
- Fermi-level density of states: 1.4 states/eV/f.u.
- E above lowest polymorph: 0.000 eV per atom

Number 1: size of the total moment 0.00 μB/cell. Number 2: size of the total moment 0.00 μB/cell. Number 3: size of the total moment 0.00 μB/cell. Number 4: size of the total moment 0.00 μB/cell. Number 5: size of the total moment 4.64 μB/cell. Number 6: size of the total moment 0.00 μB/cell. Number 7: size of the total moment 0.14 μB/cell. Number 8: size of the total moment 0.00 μB/cell. Number 9: size of the total moment 0.00 μB/cell. Number 10: size of the total moment 0.00 μB/cell. Number 11: size of the total moment 5.37 μB/cell. Number 12: size of the total moment 0.00 μB/cell.